Record 1
{"formula": "Y2CoPdPt", "functional": "PBE", "state": "relaxed", "lattice_angstrom": [[5.093, 0.000, 0.000], [0.000, 4.446, 0.000], [0.000, 0.000, 5.093]], "species": ["Co", "Y", "Pd", "Pt", "Y"], "frac_coords": [[0.000, 0.000, 0.000], [0.500, 0.000, 0.000], [0.500, 0.500, 0.500], [0.000, 0.500, 0.000], [0.000, 0.000, 0.500]], "total_energy_ev_per_atom": -6.401, "density_g_cm3": 7.7, "magmom_total_mub_per_fu": 0.004, "sg": "P4/mmm (123)"}



Record 2
{"formula": "PuCoPd", "functional": "PBE", "state": "relaxed", "lattice_angstrom": [[3.611, 0.000, 0.000], [0.000, 3.605, 0.000], [0.000, 1.803, 8.187]], "species": ["Co", "Pu", "Pd", "Pd", "Co", "Pu"], "frac_coords": [[0.750, 0.455, 0.089], [0.750, 0.105, 0.789], [0.750, 0.292, 0.415], [0.250, 0.708, 0.585], [0.250, 0.545, 0.911], [0.250, 0.895, 0.211]], "total_energy_ev_per_atom": -9.053, "polymorph_energy_ev_per_atom": 0.112, "density_g_cm3": 12.8, "magmom_total_mub_per_fu": 4.165, "sg": "Cmcm (63)"}



Record 3
{"formula": "PuCoPd", "functional": "PBE", "state": "relaxed", "lattice_angstrom": [[4.494, 0.000, 2.523], [1.580, 4.383, 2.450], [0.000, 0.063, 5.264]], "species": ["Pd", "Co", "Pd", "Pu", "Co", "Pu"], "frac_coords": [[0.500, 0.000, 0.500], [0.500, 0.000, 0.000], [0.500, 0.500, 0.000], [0.122, 0.628, 0.628], [0.000, 0.000, 0.000], [0.878, 0.372, 0.372]], "total_energy_ev_per_atom": -9.165, "polymorph_energy_ev_per_atom": 0.000, "density_g_cm3": 13.2, "magmom_total_mub_per_fu": 4.151, "sg": "Imma (74)"}



Record 4
{"formula": "PuCo4Pd", "functional": "PBE", "state": "relaxed", "lattice_angstrom": [[4.905, 0.000, 0.000], [2.453, 4.248, 0.000], [2.453, 1.416, 4.005]], "species": ["Pd", "Co", "Co", "Co", "Pu", "Co"], "frac_coords": [[0.000, 0.000, 0.000], [0.124, 0.625, 0.625], [0.625, 0.124, 0.625], [0.625, 0.625, 0.124], [0.250, 0.250, 0.250], [0.625, 0.625, 0.625]], "total_energy_ev_per_atom": -8.104, "density_g_cm3": 11.7, "magmom_total_mub_per_fu": 1.367, "sg": "F-43m (216)"}



Record 5
{"formula": "SmPuCoPd", "functional": "PBE", "state": "relaxed", "lattice_angstrom": [[4.910, 0.000, 0.000], [2.455, 4.252, 0.000], [2.455, 1.417, 4.009]], "species": ["Pu", "Sm", "Pd", "Co"], "frac_coords": [[0.500, 0.500, 0.500], [0.000, 0.000, 0.000], [0.750, 0.750, 0.750], [0.250, 0.250, 0.250]], "total_energy_ev_per_atom": -8.052, "density_g_cm3": 11.1, "magmom_total_mub_per_fu": 4.994, "sg": "F-43m (216)"}



Record 6
{"formula": "TbPuCoPd", "functional": "PBE", "state": "relaxed", "lattice_angstrom": [[-4.735, 0.394, -1.054], [-1.555, -0.786, -4.544], [-2.604, -3.981, -1.026]], "species": ["Pd", "Co", "Pu", "Tb"], "frac_coords": [[0.250, 0.250, 0.250], [0.750, 0.750, 0.750], [0.500, 0.500, 0.500], [0.000, 0.000, 0.000]], "total_energy_ev_per_atom": -8.072, "density_g_cm3": 11.6, "magmom_total_mub_per_fu": 5.050, "sg": "F-43m (216)"}



Record 7
{"formula": "PuThCoPd", "functional": "PBE", "state": "relaxed", "lattice_angstrom": [[4.944, 0.000, 0.000], [2.472, 4.282, 0.000], [2.472, 1.427, 4.037]], "species": ["Pd", "Co", "Pu", "Th"], "frac_coords": [[0.000, 0.000, 0.000], [0.500, 0.500, 0.500], [0.250, 0.250, 0.250], [0.750, 0.750, 0.750]], "total_energy_ev_per_atom": -8.748, "density_g_cm3": 12.5, "magmom_total_mub_per_fu": 5.247, "sg": "F-43m (216)"}



Record 8
{"formula": "TmPuCoPd", "functional": "PBE", "state": "relaxed", "lattice_angstrom": [[-3.253, -3.285, 1.379], [-2.611, -2.346, -3.309], [0.802, -4.685, -0.828]], "species": ["Tm", "Pu", "Pd", "Co"], "frac_coords": [[0.750, 0.750, 0.750], [0.250, 0.250, 0.250], [0.500, 0.500, 0.500], [0.000, 0.000, 0.000]], "total_energy_ev_per_atom": -8.066, "density_g_cm3": 12.1, "magmom_total_mub_per_fu": 5.016, "sg": "F-43m (216)"}



- What is the formula in the sixth record?
  TbPuCoPd